Density functional theory data (PBE) for crystalline Li2Al2Te at its relaxed geometry.

## Properties
- total DFT energy (no corrections) (eV per formula unit) = -14.7
- relative energy among the computed polymorphs (meV/atom) = 116
- formation energy without anion corrections (eV per atom) = -0.042
- theoretical density (g/cm3) = 3.2

Cell and atoms, written as POSCAR:
```
Li2Al2Te
1.0
6.889 0.000 0.000
0.000 6.889 0.000
0.000 0.000 4.295
Al Li Te
4 4 2
Cartesian
4.473 5.861 2.148
5.861 2.416 2.148
2.416 1.028 2.148
1.028 4.473 2.148
5.889 4.445 0.000
1.000 2.444 0.000
4.445 1.000 0.000
2.444 5.889 0.000
0.000 0.000 0.000
3.445 3.445 0.000
```